(1)
First-principles (PBE-GGA) data for a geometry-optimized Al2ZnSi2 structure, as listed in the Alexandria database.

Summary:
Formation energy (no corrections) in eV/atom: 0.236
DOS(E_F) in states/eV/cell: 3.79

Cell lengths 7.7722, 7.7722, 2.7389 Å; angles 90.00, 90.00, 90.00 degrees
With the nearest neighbours (Å) after each atom.
Atoms (fractional coordinates):
Zn: 0.0000 0.0000 0.0000  2 Zn 2.74, 4 Al 2.99
Zn: 0.5000 0.5000 0.0000  2 Zn 2.74, 4 Al 2.99
Al: 0.6428 0.1428 0.0000  6 Si 2.62-2.68, 2 Al 2.74
Al: 0.8572 0.6428 0.0000  6 Si 2.62-2.68, 2 Al 2.74
Al: 0.3572 0.8572 0.0000  6 Si 2.62-2.68, 2 Al 2.74
Al: 0.1428 0.3572 0.0000  6 Si 2.62-2.68, 2 Al 2.74
Si: 0.8462 0.3462 0.5000  6 Al 2.62-2.68, 2 Si 2.74
Si: 0.1538 0.6538 0.5000  6 Al 2.62-2.68, 2 Si 2.74
Si: 0.6538 0.8462 0.5000  6 Al 2.62-2.68, 2 Si 2.74
Si: 0.3462 0.1538 0.5000  6 Al 2.62-2.68, 2 Si 2.74

(2)
First-principles (PBE-GGA) data for a geometry-optimized CrNiBr2 structure, as listed in the Alexandria database.

Summary:
Formation energy (no corrections) in eV/atom: -0.063
DOS(E_F) in states/eV/cell: 3.15
Energy above the most stable polymorph in this dataset in eV per atom: 0.033

Cell lengths 7.1464, 7.1464, 4.1063 Å; angles 84.64, 84.64, 28.78 degrees
With the nearest neighbours (Å) after each atom.
Atoms (fractional coordinates):
Ni: 0.7500 0.7500 0.7500  2 Br 2.27
Br: 0.8817 0.8817 0.0406  1 Ni 2.27
Br: 0.6183 0.6183 0.4594  1 Ni 2.27
Cr: 0.2500 0.2500 0.2500  4 Br 2.63, 4 Ni 2.71

(3)
First-principles (PBE-GGA) data for a geometry-optimized RbSb2TeO8 structure, as listed in the Alexandria database.

Summary:
Formation energy (no corrections) in eV/atom: -1.147
DOS(E_F) in states/eV/cell: 1.83

Cell lengths 5.3238, 5.3245, 7.5019 Å; angles 74.00, 74.03, 72.18 degrees
With the nearest neighbours (Å) after each atom.
Atoms (fractional coordinates):
O: 0.3480 0.3463 0.5236  2 Sb 2.00-2.08
O: 0.2622 0.7991 0.7988  1 Sb 1.97, 1 Te 2.05
O: 0.6520 0.6537 0.4764  2 Sb 2.00-2.08
O: 0.2421 0.2414 0.9467  1 Sb 1.98, 1 Te 1.98
O: 0.2004 0.7372 0.2015  1 Sb 1.97, 1 Te 2.05
O: 0.7378 0.2009 0.2012  1 Sb 1.97, 1 Te 2.05
O: 0.7579 0.7586 0.0533  1 Sb 1.98, 1 Te 1.98
O: 0.7996 0.2628 0.7985  1 Sb 1.97, 1 Te 2.05
Te: 0.0000 0.0000 0.0000  6 O 1.98-2.05
Sb: 0.5505 0.5505 0.2738  5 O 1.97-2.08
Sb: 0.4495 0.4495 0.7262  5 O 1.97-2.08
Rb: 0.0000 0.0000 0.5000  6 O 2.76-3.05